[1]
VASP calculation (PBE) on crystalline Sc3AlO at its relaxed geometry.

Space group: I-4m2, No. 119
ΔE_f (raw), eV per atom: -0.99
Calculated total energy, eV/f.u.: -32.7
Total moment, μB/atom: 0.0000

```
data_Sc3AlO
_chemical_formula_sum 'Sc6 Al2 O2'
_cell_length_a 6.110
_cell_length_b 6.110
_cell_length_c 6.956
_cell_angle_alpha 63.95
_cell_angle_beta 63.95
_cell_angle_gamma 90.00
_space_group_name_H-M_alt 'P 1'
_space_group_IT_number 1
loop_
_space_group_symop_operation_xyz
'x,y,z'
loop_
_atom_site_label
_atom_site_type_symbol
_atom_site_fract_x
_atom_site_fract_y
_atom_site_fract_z
Sc1 Sc 0.628 0.881 0.238
Sc2 Sc 0.119 0.372 0.762
Sc3 Sc 0.119 0.866 0.762
Sc4 Sc 0.134 0.881 0.238
Sc5 Sc 0.373 0.373 0.253
Sc6 Sc 0.627 0.627 0.747
Al1 Al 0.625 0.125 0.750
Al2 Al 0.875 0.375 0.250
O1 O 0.000 0.000 0.000
O2 O 0.250 0.750 0.500
```

***

[2]
VASP calculation (PBE) on crystalline BeRuCl2 at its relaxed geometry.

Space group: I-4m2, No. 119
ΔE_f (raw), eV per atom: 0.66
Calculated total energy, eV/f.u.: -14.0
Total moment, μB/atom: 0.2465

```
data_BeRuCl2
_chemical_formula_sum 'Be1 Ru1 Cl2'
_cell_length_a 6.246
_cell_length_b 6.246
_cell_length_c 6.246
_cell_angle_alpha 148.55
_cell_angle_beta 148.55
_cell_angle_gamma 45.08
_space_group_name_H-M_alt 'P 1'
_space_group_IT_number 1
loop_
_space_group_symop_operation_xyz
'x,y,z'
loop_
_atom_site_label
_atom_site_type_symbol
_atom_site_fract_x
_atom_site_fract_y
_atom_site_fract_z
Ru1 Ru 0.500 0.500 0.000
Be1 Be 0.750 0.250 0.500
Cl1 Cl 0.000 0.000 0.000
Cl2 Cl 0.250 0.750 0.500
```

***

[3]
VASP calculation (PBE) on crystalline Ni2TeI2 at its relaxed geometry.

Space group: P4/mbm, No. 127
ΔE_f (raw), eV per atom: 0.50
Calculated total energy, eV/f.u.: -15.3
Total moment, μB/atom: 0.0000

```
data_Ni2TeI2
_chemical_formula_sum 'Ni4 Te2 I4'
_cell_length_a 7.566
_cell_length_b 7.566
_cell_length_c 3.708
_cell_angle_alpha 90.00
_cell_angle_beta 90.00
_cell_angle_gamma 90.00
_space_group_name_H-M_alt 'P 1'
_space_group_IT_number 1
loop_
_space_group_symop_operation_xyz
'x,y,z'
loop_
_atom_site_label
_atom_site_type_symbol
_atom_site_fract_x
_atom_site_fract_y
_atom_site_fract_z
I1 I 0.160 0.660 0.500
I2 I 0.660 0.840 0.500
I3 I 0.840 0.340 0.500
I4 I 0.340 0.160 0.500
Ni1 Ni 0.370 0.870 0.000
Ni2 Ni 0.870 0.630 0.000
Ni3 Ni 0.630 0.130 0.000
Ni4 Ni 0.130 0.370 0.000
Te1 Te 0.000 0.000 0.000
Te2 Te 0.500 0.500 0.000
```

***

Number 1: volume 20.351 Å³ per atom. Number 2: volume 16.537 Å³ per atom. Number 3: volume 21.227 Å³ per atom.